No. 1
Entry from the Alexandria database: a relaxed CeSm8Tm3 crystal (PBE-GGA).

Cell and atoms, written as extended XYZ:
```
12
Lattice="-4.323 4.323 5.724 4.323 -4.323 5.724 4.323 4.323 -5.724" Properties=species:S:1:pos:R:3 pbc="T T T"
Ce 0.000 0.000 0.000
Sm 1.061 -1.061 2.747
Sm 2.283 -2.283 5.464
Sm 2.040 2.040 0.260
Sm -1.061 1.061 2.747
Sm 3.261 3.261 2.977
Sm -2.283 2.283 5.464
Sm 2.283 2.283 5.984
Sm 1.061 1.061 8.701
Tm 4.323 0.000 2.862
Tm 0.000 0.000 5.724
Tm 0.000 4.323 2.862
```

Calculated values
For the energy relative to the elements, the calculation gives 0.581 eV per atom. The space group is I-42m (121). For the calculated volume, the calculation gives 427.8 Å³/f.u.

---

No. 2
Entry from the Alexandria database: a relaxed CeSm6Tm8 crystal (PBE-GGA).

Cell and atoms, written as extended XYZ:
```
15
Lattice="4.491 2.593 6.874 -4.491 2.593 6.874 0.000 -5.186 6.874" Properties=species:S:1:pos:R:3 pbc="T T T"
Ce 0.000 0.000 0.000
Sm -1.955 0.496 5.979
Sm 0.548 -1.942 5.979
Sm -1.408 -1.445 14.645
Sm 1.408 1.445 5.979
Sm -0.548 1.942 14.645
Sm 1.955 -0.496 14.645
Tm -2.706 -1.760 10.865
Tm -2.877 1.463 9.759
Tm 0.171 -3.224 9.759
Tm 0.000 0.000 8.725
Tm 0.000 0.000 11.898
Tm -0.171 3.224 10.865
Tm 2.877 -1.463 10.865
Tm 2.706 1.760 9.759
```

Calculated values
For the energy relative to the elements, the calculation gives 0.129 eV per atom. The space group is R-3 (148). For the calculated volume, the calculation gives 480.3 Å³/f.u.

---

No. 3
Entry from the Alexandria database: a relaxed CeSm3Tm4 crystal (PBE-GGA).

Cell and atoms, written as extended XYZ:
```
8
Lattice="6.150 0.000 0.000 0.000 3.546 0.000 -2.060 0.000 11.481" Properties=species:S:1:pos:R:3 pbc="T T T"
Ce 0.000 0.000 0.000
Sm -1.030 1.773 5.741
Sm 2.045 0.000 5.741
Sm 3.075 1.773 0.000
Tm 1.003 1.773 2.841
Tm -0.027 0.000 8.622
Tm 4.118 0.000 2.860
Tm 3.087 1.773 8.641
```

Calculated values
For the energy relative to the elements, the calculation gives 0.042 eV per atom. The space group is P2/m (10). For the calculated volume, the calculation gives 250.4 Å³/f.u.

---

No. 4
Entry from the Alexandria database: a relaxed Ce4SmTm crystal (PBE-GGA).

Cell and atoms, written as extended XYZ:
```
6
Lattice="0.000 4.470 4.470 4.470 0.000 4.470 4.470 4.470 0.000" Properties=species:S:1:pos:R:3 pbc="T T T"
Ce 3.390 3.390 3.390
Ce 5.549 5.549 3.390
Ce 5.549 3.390 5.549
Ce 3.390 5.549 5.549
Sm 0.000 0.000 0.000
Tm 6.704 6.704 6.704
```

Calculated values
For the energy relative to the elements, the calculation gives 0.206 eV per atom. The space group is F-43m (216). For the calculated volume, the calculation gives 178.6 Å³/f.u.

---

No. 5
Entry from the Alexandria database: a relaxed CeSm5Tm12 crystal (PBE-GGA).

Cell and atoms, written as extended XYZ:
```
18
Lattice="9.168 -5.284 0.000 9.168 5.284 0.000 -2.030 0.000 5.770" Properties=species:S:1:pos:R:3 pbc="T T T"
Ce 0.000 0.000 0.000
Sm 2.033 0.000 2.856
Sm 4.081 0.000 5.768
Sm 8.153 0.000 2.885
Sm 12.226 0.000 0.002
Sm 14.274 0.000 2.915
Tm 4.093 3.514 5.769
Tm 5.097 1.772 2.886
Tm 8.153 3.528 2.885
Tm 9.168 1.791 0.000
Tm 12.214 3.514 0.001
Tm 11.210 1.772 2.884
Tm 5.097 -1.772 2.886
Tm 4.093 -3.514 5.769
Tm 9.168 -1.791 0.000
Tm 8.153 -3.528 2.885
Tm 11.210 -1.772 2.884
Tm 12.214 -3.514 0.001
```

Calculated values
For the energy relative to the elements, the calculation gives 0.034 eV per atom. The space group is C2/m (12). For the calculated volume, the calculation gives 559.1 Å³/f.u.

---

No. 6
Entry from the Alexandria database: a relaxed CeSm2Tm4 crystal (PBE-GGA).

Cell and atoms, written as extended XYZ:
```
7
Lattice="3.083 -1.780 0.000 3.083 1.780 0.000 -2.066 0.000 19.945" Properties=species:S:1:pos:R:3 pbc="T T T"
Ce 0.000 0.000 0.000
Sm -0.025 0.000 5.717
Sm -0.062 0.000 11.459
Tm -0.043 0.000 17.099
Tm 2.021 0.000 2.855
Tm 4.075 0.000 8.578
Tm 4.079 0.000 14.351
```

Calculated values
For the energy relative to the elements, the calculation gives 0.038 eV per atom. The space group is Cm (8). For the calculated volume, the calculation gives 218.8 Å³/f.u.

---

No. 7
Entry from the Alexandria database: a relaxed CeSm2Tm crystal (PBE-GGA).

Cell and atoms, written as extended XYZ:
```
4
Lattice="3.544 0.000 0.000 0.000 3.544 0.000 0.000 0.000 10.118" Properties=species:S:1:pos:R:3 pbc="T T T"
Ce 0.000 0.000 0.000
Sm 1.772 1.772 2.500
Sm 1.772 1.772 7.618
Tm 0.000 0.000 5.059
```

Calculated values
For the energy relative to the elements, the calculation gives 0.065 eV per atom. The distance to the lowest polymorph of the same formula comes out at 0.8 kJ/mol of formula units. The space group is P4/mmm (123). For the calculated volume, the calculation gives 127.1 Å³/f.u.

---

No. 8
Entry from the Alexandria database: a relaxed CeSm2Tm crystal (PBE-GGA).

Cell and atoms, written as extended XYZ:
```
4
Lattice="1.779 1.027 11.605 -1.779 1.027 11.605 0.000 -2.054 11.605" Properties=species:S:1:pos:R:3 pbc="T T T"
Ce 0.000 0.000 0.000
Sm 0.000 0.000 8.708
Sm 0.000 0.000 14.539
Tm 0.000 0.000 29.030
```

Calculated values
For the energy relative to the elements, the calculation gives 0.063 eV per atom. The distance to the lowest polymorph of the same formula comes out at 0.0 kJ/mol of formula units. The space group is R3m (160). For the calculated volume, the calculation gives 127.2 Å³/f.u.

---

No. 9
Entry from the Alexandria database: a relaxed CeSm3Tm8 crystal (PBE-GGA).

Cell and atoms, written as extended XYZ:
```
12
Lattice="-4.312 4.312 5.612 4.312 -4.312 5.612 4.312 4.312 -5.612" Properties=species:S:1:pos:R:3 pbc="T T T"
Ce 0.000 0.000 0.000
Sm 4.312 0.000 2.806
Sm 0.000 0.000 5.612
Sm 0.000 4.312 2.806
Tm 3.233 3.233 -2.976
Tm 2.002 2.002 -0.351
Tm 2.310 -2.310 5.963
Tm 1.079 1.079 2.637
Tm 1.079 -1.079 8.588
Tm 2.310 2.310 5.261
Tm -2.310 2.310 5.963
Tm -1.079 1.079 8.588
```

Calculated values
For the energy relative to the elements, the calculation gives 0.630 eV per atom. The space group is I-42m (121). For the calculated volume, the calculation gives 417.3 Å³/f.u.

---

No. 10
Entry from the Alexandria database: a relaxed Ce2SmTm crystal (PBE-GGA).

Cell and atoms, written as extended XYZ:
```
8
Lattice="4.607 -5.698 0.000 4.607 5.698 0.000 -4.498 0.000 4.605" Properties=species:S:1:pos:R:3 pbc="T T T"
Ce 0.978 0.006 0.957
Ce -1.271 -0.006 3.260
Ce 5.987 0.006 1.345
Ce 3.738 -0.006 3.648
Sm 0.055 2.849 2.303
Sm 2.304 -2.849 0.000
Tm 3.483 2.842 1.151
Tm 1.234 -2.842 3.454
```

Calculated values
For the energy relative to the elements, the calculation gives 0.211 eV per atom. The distance to the lowest polymorph of the same formula comes out at 44.7 kJ/mol of formula units. The space group is C2/c (15). For the calculated volume, the calculation gives 120.9 Å³/f.u.

---

One value per record, in order, for uncorrected energy: -4.18, -4.54, -4.71, -5.28, -4.59, -4.71, -4.90, -4.90, -4.03, -5.05 eV per atom.
One value per record, in order, for magnetization: 0.00, 1.23, 0.87, 4.21, 1.27, 0.86, 0.56, 0.72, 0.00, 2.38 Bohr magnetons per cell.